Record 1
A relaxed U2GaSi4Ni3 crystal, computed with GGA-PBE.

## Properties
**DOS at the Fermi energy**: 17.46 states/eV/f.u.
**Formation energy from raw total energies**: -0.495 eV/atom

Unit cell a=4.001 b=4.001 c=9.636 alpha=90.00 beta=90.00 gamma=90.00
Fractional positions:
1 U 0.000 0.500 0.243
2 U 0.500 0.000 0.757
3 Ga 0.000 0.000 0.500
4 Si 0.000 0.000 0.000
5 Si 0.000 0.500 0.647
6 Si 0.500 0.000 0.353
7 Si 0.500 0.500 0.000
8 Ni 0.000 0.500 0.882
9 Ni 0.500 0.000 0.118
10 Ni 0.500 0.500 0.500



Record 2
A relaxed SbRhSI2 crystal, computed with GGA-PBE.

## Properties
**DOS at the Fermi energy**: 5.88 states/eV/f.u.
**Energy relative to the lowest polymorph listed for this composition**: 0 meV/atom
**Formation energy from raw total energies**: 0.558 eV/atom

Unit cell a=5.349 b=5.349 c=5.141 alpha=90.00 beta=90.00 gamma=90.00
Fractional positions:
1 Sb 0.000 0.000 0.000
2 Rh 0.000 0.000 0.500
3 S 0.500 0.500 0.000
4 I 0.000 0.500 0.500
5 I 0.500 0.000 0.500



Record 3
A relaxed TbCuSnRh crystal, computed with GGA-PBE.

## Properties
**DOS at the Fermi energy**: 3.11 states/eV/f.u.
**Formation energy**: -0.536 eV/atom

Unit cell a=4.729 b=4.729 c=4.729 alpha=60.00 beta=60.00 gamma=60.00
Fractional positions:
1 Tb 0.000 0.000 0.000
2 Cu 0.750 0.750 0.750
3 Sn 0.500 0.500 0.500
4 Rh 0.250 0.250 0.250



Record 4
A relaxed NaLiGd crystal, computed with GGA-PBE.

## Properties
**DOS at the Fermi energy**: 3.26 states/eV/f.u.
**Energy relative to the lowest polymorph listed for this composition**: 0 meV/atom
**Formation energy**: 0.155 eV/atom

Unit cell a=3.456 b=3.456 c=8.636 alpha=90.00 beta=90.00 gamma=120.00
Fractional positions:
1 Na 0.000 0.000 0.000
2 Li 0.333 0.667 0.672
3 Gd 0.667 0.333 0.362



Q: Which of these has the highest DOS at the Fermi energy?
A: U2GaSi4Ni3